Record 1
A geometry-optimized SiSb2TeI structure. Source: Alexandria, functional GGA-PBE.

Properties
The value obtained for the density of states at the Fermi level is 4.82 states/eV/f.u. Its symmetry is P4/mmm. The relative energy among the computed polymorphs is 0.0385 eV/atom.

abc: 5.4113 5.4113 5.2035
angles: 90.00 90.00 90.00
Last column: nearest neighbours and their distance in Å.
Atoms (fractional coordinates):
Si: 0.0000 0.0000 0.0000  2 I 2.60, 4 Sb 2.71
Sb: 0.0000 0.5000 0.0000  2 Si 2.71
Sb: 0.5000 0.0000 0.0000  2 Si 2.71
Te: 0.5000 0.5000 0.5000  8 Sb 3.75, 4 I 3.83
I: 0.0000 0.0000 0.5000  2 Si 2.60

=====

Record 2
A geometry-optimized Dy8Er2Tl structure. Source: Alexandria, functional GGA-PBE.

Properties
The value obtained for the density of states at the Fermi level is 16.90 states/eV/f.u. Its symmetry is C2/m. The relative energy among the computed polymorphs is 0.0895 eV/atom.

abc: 8.4481 8.4481 8.0993
angles: 91.32 91.32 37.43
Last column: nearest neighbours and their distance in Å.
Atoms (fractional coordinates):
Dy: 0.0719 0.0719 0.3616  1 Tl 3.12, 2 Dy 3.23-3.25
Dy: 0.2148 0.2148 0.0868  6 Dy 3.23-3.39, 1 Tl 3.49, 3 Er 3.53-3.62
Dy: 0.4051 0.4051 0.9130  2 Tl 3.18, 7 Dy 3.32-3.54, 1 Er 3.35
Dy: 0.4139 0.4139 0.3496  8 Dy 3.54-3.79, 3 Er 3.68-3.69
Dy: 0.5861 0.5861 0.6504  8 Dy 3.54-3.79, 3 Er 3.68-3.69
Dy: 0.5949 0.5949 0.0870  2 Tl 3.18, 7 Dy 3.32-3.54, 1 Er 3.35
Dy: 0.7852 0.7852 0.9132  6 Dy 3.23-3.39, 1 Tl 3.49, 3 Er 3.53-3.62
Dy: 0.9281 0.9281 0.6384  1 Tl 3.12, 2 Dy 3.23-3.25
Er: 0.2426 0.2426 0.6447  8 Dy 3.35-3.69, 2 Er 3.60
Er: 0.7574 0.7574 0.3553  8 Dy 3.35-3.69, 2 Er 3.60
Tl: 0.0000 0.0000 0.0000  8 Dy 3.12-3.49

=====

Record 3
A geometry-optimized Ac2USb2N2 structure. Source: Alexandria, functional GGA-PBE.

Properties
The value obtained for the density of states at the Fermi level is 0.52 states/eV/f.u. For the energy, the calculation gives -7.6116 eV per atom. Its symmetry is C2/m.

abc: 6.6259 6.6259 7.6962
angles: 118.94 118.94 38.81
Last column: nearest neighbours and their distance in Å.
Atoms (fractional coordinates):
Ac: 0.1964 0.1964 0.2426  3 N 2.67-2.70
Ac: 0.8036 0.8036 0.7574  3 N 2.67-2.70
U: 0.0000 0.0000 0.5000  2 N 1.95
Sb: 0.4490 0.4490 0.1806  2 U 3.11, 1 Ac 3.43
Sb: 0.5510 0.5510 0.8194  2 U 3.11, 1 Ac 3.43
N: 0.1740 0.1740 0.5740  1 U 1.95
N: 0.8260 0.8260 0.4260  1 U 1.95

=====

Record 4
A geometry-optimized K2Rb8O structure. Source: Alexandria, functional GGA-PBE.

Properties
The value obtained for the density of states at the Fermi level is 6.26 states/eV/f.u. Its symmetry is C2/m. The relative energy among the computed polymorphs is 0.0000 eV/atom.

abc: 8.8721 8.8721 12.0930
angles: 104.27 104.27 60.08
Last column: nearest neighbours and their distance in Å.
Atoms (fractional coordinates):
K: 0.1599 0.1599 0.0541  8 Rb 4.65-5.20, 1 K 4.71
K: 0.8401 0.8401 0.9459  8 Rb 4.65-5.20, 1 K 4.71
Rb: 0.1591 0.7097 0.3324  1 O 2.82
Rb: 0.1683 0.1683 0.4463  1 O 2.84
Rb: 0.2903 0.8409 0.6676  1 O 2.82
Rb: 0.3736 0.3736 0.8478  6 Rb 4.53-5.02, 3 K 4.65-4.66
Rb: 0.6264 0.6264 0.1522  6 Rb 4.53-5.02, 3 K 4.65-4.66
Rb: 0.7097 0.1591 0.3324  1 O 2.82
Rb: 0.8317 0.8317 0.5537  1 O 2.84
Rb: 0.8409 0.2903 0.6676  1 O 2.82
O: 0.0000 0.0000 0.5000  6 Rb 2.82-2.84

=====

Record 5
A geometry-optimized K4Rb2Ba structure. Source: Alexandria, functional GGA-PBE.

Properties
The value obtained for the density of states at the Fermi level is 7.44 states/eV/f.u. For the energy, the calculation gives -1.1415 eV per atom. Its symmetry is R-3m.

abc: 27.7481 27.7481 27.7481
angles: 9.70 9.70 9.70
Last column: nearest neighbours and their distance in Å.
Atoms (fractional coordinates):
K: 0.1438 0.1438 0.1438  9 K 4.66-4.69, 3 Rb 4.87
K: 0.2877 0.2877 0.2877  3 Ba 4.65, 6 K 4.69, 3 Rb 4.90
K: 0.7123 0.7123 0.7123  3 Ba 4.65, 6 K 4.69, 3 Rb 4.90
K: 0.8562 0.8562 0.8562  9 K 4.66-4.69, 3 Rb 4.87
Rb: 0.4282 0.4282 0.4282  6 Rb 4.69, 6 K 4.87-4.90
Rb: 0.5718 0.5718 0.5718  6 Rb 4.69, 6 K 4.87-4.90
Ba: 0.0000 0.0000 0.0000  6 K 4.65, 6 Ba 4.69

=====

Record 6
A geometry-optimized Sc5Pd4Au structure. Source: Alexandria, functional GGA-PBE.

Properties
The value obtained for the density of states at the Fermi level is 5.97 states/eV/f.u. For the energy, the calculation gives -6.4471 eV per atom. Its symmetry is P4/mmm.

abc: 3.2975 3.2975 16.9747
angles: 90.00 90.00 90.00
Last column: nearest neighbours and their distance in Å.
Atoms (fractional coordinates):
Sc: 0.0000 0.0000 0.0000  8 Pd 2.87
Sc: 0.0000 0.0000 0.1980  8 Pd 2.87
Sc: 0.0000 0.0000 0.3964  4 Pd 2.88, 4 Au 2.92
Sc: 0.0000 0.0000 0.6036  4 Pd 2.88, 4 Au 2.92
Sc: 0.0000 0.0000 0.8020  8 Pd 2.87
Pd: 0.5000 0.5000 0.0989  8 Sc 2.87
Pd: 0.5000 0.5000 0.2965  8 Sc 2.87-2.88
Pd: 0.5000 0.5000 0.7035  8 Sc 2.87-2.88
Pd: 0.5000 0.5000 0.9011  8 Sc 2.87
Au: 0.5000 0.5000 0.5000  8 Sc 2.92